# KAs2Pt

A relaxed structure of KAs2Pt (PBEsol, the Alexandria database).

a b c (Å): 7.1392 3.8849 7.2281
angles (deg): 90.00 110.39 90.00
Space group Cm (No. 8)
Asymmetric unit:
1 K 0.0000 0.0000 0.0000 (multiplicity 2)
2 As 0.0612 0.5000 0.6641 (multiplicity 2)
3 As 0.3069 0.5000 0.3630 (multiplicity 2)
4 Pt 0.1856 0.0000 0.5182 (multiplicity 2)

## Properties
ΔE_f (eV/atom): -0.43

***

# IrRuRh2

A relaxed structure of IrRuRh2 (PBEsol, the Alexandria database).

a b c (Å): 3.7770 3.7770 7.5989
angles (deg): 90.00 90.00 90.00
Space group I4/mmm (No. 139)
Asymmetric unit:
1 Ir 0.0000 0.0000 0.0000 (multiplicity 2)
2 Ru 0.0000 0.0000 0.5000 (multiplicity 2)
3 Rh 0.0000 0.5000 0.2500 (multiplicity 4)

## Properties
ΔE_f (eV/atom): 0.01

***

# LiHPt2

A relaxed structure of LiHPt2 (PBEsol, the Alexandria database).

a b c (Å): 6.2328 6.2328 4.7508
angles (deg): 90.00 90.00 90.00
Space group I-42d (No. 122)
Asymmetric unit:
1 Li 0.0000 0.0000 0.0000 (multiplicity 4)
2 H 0.0000 0.0000 0.5000 (multiplicity 4)
3 Pt 0.1413 0.2500 0.6250 (multiplicity 8)

***

# KTcAu

A relaxed structure of KTcAu (PBEsol, the Alexandria database).

a b c (Å): 2.6676 4.3684 11.9202
angles (deg): 90.00 90.00 90.00
Space group Imm2 (No. 44)
Asymmetric unit:
1 K 0.0000 0.0000 0.0000 (multiplicity 2)
2 Tc 0.0000 0.0000 0.7246 (multiplicity 2)
3 Au 0.0000 0.0000 0.2839 (multiplicity 2)

## Properties
ΔE_f (eV/atom): 0.72

***

| no. | energy (eV per atom) |
| --- | --- |
| 1 | -5.003 |
| 2 | -9.063 |
| 3 | -4.979 |
| 4 | -4.722 |